i:
First-principles (SCAN) data for MnCuSe at its PBEsol-relaxed geometry, as listed in Alexandria.

Summary:
density of states at the Fermi level: 0.80 states/eV per cell
magnetic moment: 4.28 μB/cell
mass density: 6.83 g cm⁻³

a b c (Å): 3.7553 3.7553 3.9291
angles (deg): 90.00 90.00 120.00
Last column: nearest neighbours and their distance in Å.
Sites, in units of the cell vectors:
Cu1 0.0000 0.0000 0.0216  3 Se 2.44, 3 Mn 2.56
Mn1 0.3333 0.6667 0.6733  3 Cu 2.56, 3 Se 2.61
Se1 0.6667 0.3333 0.3050  3 Cu 2.44, 3 Mn 2.61


ii:
First-principles (SCAN) data for MnCuSe at its PBEsol-relaxed geometry, as listed in Alexandria.

Summary:
density of states at the Fermi level: 0.80 states/eV per cell
magnetic moment: 4.06 μB/cell
mass density: 6.78 g cm⁻³

a b c (Å): 4.0884 4.0884 4.0884
angles (deg): 60.00 60.00 60.00
Last column: nearest neighbours and their distance in Å.
Sites, in units of the cell vectors:
Se1 0.0000 0.0000 0.0000  4 Mn 2.50
Mn1 0.2500 0.2500 0.2500  4 Cu 2.50, 4 Se 2.50
Cu1 0.5000 0.5000 0.5000  4 Mn 2.50


Computed relative energies in units of eV/atom: i 0.000; ii 0.044


i:
First-principles (SCAN) data for SrMn2Cu at its PBEsol-relaxed geometry, as listed in Alexandria.

Summary:
density of states at the Fermi level: 3.17 states/eV per cell
magnetic moment: 7.55 μB/cell
mass density: 6.05 g cm⁻³

a b c (Å): 4.3700 4.0495 4.0495
angles (deg): 90.00 90.00 90.00
Last column: nearest neighbours and their distance in Å.
Sites, in units of the cell vectors:
Cu1 0.5000 0.0000 0.0000  4 Sr 2.86, 8 Mn 2.98
Mn1 0.0000 0.5000 0.0000  4 Mn 2.86, 4 Sr 2.98, 4 Cu 2.98
Mn2 0.0000 0.0000 0.5000  4 Mn 2.86, 4 Sr 2.98, 4 Cu 2.98
Sr1 0.5000 0.5000 0.5000  4 Cu 2.86, 8 Mn 2.98


ii:
First-principles (SCAN) data for SrMn2Cu at its PBEsol-relaxed geometry, as listed in Alexandria.

Summary:
density of states at the Fermi level: 2.45 states/eV per cell
magnetic moment: 8.20 μB/cell
mass density: 5.66 g cm⁻³

a b c (Å): 2.9886 4.0509 6.4847
angles (deg): 90.00 102.73 90.00
Last column: nearest neighbours and their distance in Å.
Sites, in units of the cell vectors:
Mn1 0.8804 0.0000 0.6695  1 Mn 2.46, 2 Cu 2.46
Mn2 0.1196 0.0000 0.3305  1 Mn 2.46, 2 Cu 2.46
Cu1 0.5000 0.5000 0.5000  4 Mn 2.46
Sr1 0.5000 0.5000 0.0000  2 Sr 2.99, 8 Mn 3.22-3.33, 2 Cu 3.24


Computed relative energies in units of eV/atom: i 0.173; ii 0.000


i:
First-principles (SCAN) data for Mn2CuW at its PBEsol-relaxed geometry, as listed in Alexandria.

Summary:
density of states at the Fermi level: 3.54 states/eV per cell
magnetic moment: 4.64 μB/cell
mass density: 12.14 g cm⁻³

a b c (Å): 4.1011 4.1043 4.1011
angles (deg): 60.03 90.00 119.97
Last column: nearest neighbours and their distance in Å.
Sites, in units of the cell vectors:
W1 0.0000 0.0000 0.0000  8 Mn 2.51
Mn1 0.2500 0.5000 0.2500  4 Cu 2.51, 4 W 2.51
Mn2 0.7500 0.5000 0.7500  4 W 2.51, 4 Cu 2.51
Cu1 0.5000 0.0000 0.5000  8 Mn 2.51


ii:
First-principles (SCAN) data for Mn2CuW at its PBEsol-relaxed geometry, as listed in Alexandria.

Summary:
density of states at the Fermi level: 3.22 states/eV per cell
magnetic moment: 6.43 μB/cell
mass density: 11.71 g cm⁻³

a b c (Å): 2.6094 2.6094 8.7224
angles (deg): 81.40 81.40 60.00
Last column: nearest neighbours and their distance in Å.
Sites, in units of the cell vectors:
W1 0.5000 0.5000 0.5000  6 W 2.61, 6 Mn 2.69
Cu1 0.0000 0.0000 0.0000  6 Mn 2.56, 6 Cu 2.61
Mn1 0.2531 0.2531 0.2407  3 Cu 2.56, 6 Mn 2.61, 3 W 2.69
Mn2 0.7469 0.7469 0.7593  3 Cu 2.56, 6 Mn 2.61, 3 W 2.69


Computed relative energies in units of eV/atom: i 0.000; ii 0.186


i:
First-principles (SCAN) data for Mn2CuW at its PBEsol-relaxed geometry, as listed in Alexandria.

Summary:
density of states at the Fermi level: 3.22 states/eV per cell
magnetic moment: 0.67 μB/cell
mass density: 12.07 g cm⁻³

a b c (Å): 2.5976 2.5976 8.5458
angles (deg): 81.26 81.26 60.00
Last column: nearest neighbours and their distance in Å.
Sites, in units of the cell vectors:
Mn1 0.0048 0.0048 0.9855  9 Mn 2.33-2.60, 3 Cu 2.58
Mn2 0.7424 0.7424 0.7728  9 Mn 2.33-2.60
W1 0.4977 0.4977 0.5068  6 W 2.60, 3 Mn 2.69, 3 Cu 2.74
Cu1 0.2550 0.2550 0.2349  3 Mn 2.58, 6 Cu 2.60, 3 W 2.74


ii:
First-principles (SCAN) data for Mn2CuW at its PBEsol-relaxed geometry, as listed in Alexandria.

Summary:
density of states at the Fermi level: 2.07 states/eV per cell
magnetic moment: 6.82 μB/cell
mass density: 11.55 g cm⁻³

a b c (Å): 2.6148 2.6148 7.5142
angles (deg): 90.00 90.00 90.00
Last column: nearest neighbours and their distance in Å.
Sites, in units of the cell vectors:
W1 0.5000 0.5000 0.0000  4 W 2.61, 8 Mn 2.73
Mn1 0.0000 0.0000 0.2668  4 Cu 2.55, 4 Mn 2.61, 4 W 2.73
Mn2 0.0000 0.0000 0.7332  4 Cu 2.55, 4 Mn 2.61, 4 W 2.73
Cu1 0.5000 0.5000 0.5000  8 Mn 2.55, 4 Cu 2.61


Computed relative energies in units of eV/atom: i 0.205; ii 0.000


i:
First-principles (SCAN) data for CuNiMo at its PBEsol-relaxed geometry, as listed in Alexandria.

Summary:
density of states at the Fermi level: 0.80 states/eV per cell
magnetic moment: 0.00 μB/cell
mass density: 9.97 g cm⁻³

a b c (Å): 2.4981 4.0993 4.0993
angles (deg): 120.00 90.00 90.00
Last column: nearest neighbours and their distance in Å.
Sites, in units of the cell vectors:
Mo1 0.0000 0.3333 0.6667  2 Mo 2.50, 6 Cu 2.68, 6 Ni 2.68
Cu1 0.5000 0.0000 0.0000  3 Ni 2.37, 2 Cu 2.50
Ni1 0.5000 0.6667 0.3333  3 Cu 2.37, 2 Ni 2.50


ii:
First-principles (SCAN) data for CuNiMo at its PBEsol-relaxed geometry, as listed in Alexandria.

Summary:
density of states at the Fermi level: 3.41 states/eV per cell
magnetic moment: 0.00 μB/cell
mass density: 8.68 g cm⁻³

a b c (Å): 3.8940 3.8940 3.8940
angles (deg): 60.00 60.00 60.00
Last column: nearest neighbours and their distance in Å.
Sites, in units of the cell vectors:
Mo1 0.0000 0.0000 0.0000  4 Cu 2.38
Cu1 0.2500 0.2500 0.2500  4 Mo 2.38, 4 Ni 2.38
Ni1 0.5000 0.5000 0.5000  4 Cu 2.38


Computed relative energies in units of eV/atom: i 0.000; ii 0.715


i:
First-principles (SCAN) data for CuNiMo3 at its PBEsol-relaxed geometry, as listed in Alexandria.

Summary:
density of states at the Fermi level: 6.47 states/eV per cell
magnetic moment: 1.06 μB/cell
mass density: 8.03 g cm⁻³

a b c (Å): 4.3933 4.3933 4.3933
angles (deg): 90.00 90.00 90.00
Last column: nearest neighbours and their distance in Å.
Sites, in units of the cell vectors:
Mo1 0.0000 0.0000 0.5000  2 Cu 2.20
Mo2 0.5000 0.0000 0.0000  2 Cu 2.20
Mo3 0.0000 0.5000 0.0000  2 Cu 2.20
Ni1 0.5000 0.5000 0.5000  12 Mo 3.11
Cu1 0.0000 0.0000 0.0000  6 Mo 2.20


ii:
First-principles (SCAN) data for CuNiMo3 at its PBEsol-relaxed geometry, as listed in Alexandria.

Summary:
density of states at the Fermi level: 5.23 states/eV per cell
magnetic moment: 0.00 μB/cell
mass density: 8.09 g cm⁻³

a b c (Å): 4.3827 4.3827 4.3827
angles (deg): 90.00 90.00 90.00
Last column: nearest neighbours and their distance in Å.
Sites, in units of the cell vectors:
Mo1 0.5000 0.0000 0.0000  2 Ni 2.19
Mo2 0.0000 0.0000 0.5000  2 Ni 2.19
Mo3 0.0000 0.5000 0.0000  2 Ni 2.19
Ni1 0.0000 0.0000 0.0000  6 Mo 2.19
Cu1 0.5000 0.5000 0.5000  12 Mo 3.10


Computed relative energies in units of eV/atom: i 0.339; ii 0.000